A) Compound: K2TeN
Source: Alexandria via LeMat-Bulk
Functional: GGA-PBE
Structure: relaxed Values from VASP.

```
&SYSTEM
  ibrav = 0, nat = 16, ntyp = 3
/
ATOMIC_SPECIES
K 39.10 K.upf
Te 127.60 Te.upf
N 14.01 N.upf
ATOMIC_POSITIONS angstrom
K 2.029 2.029 2.029
K 2.029 2.029 6.088
K 2.029 6.088 2.029
K 2.029 6.088 6.088
K 6.088 2.029 2.029
K 6.088 2.029 6.088
K 6.088 6.088 2.029
K 6.088 6.088 6.088
Te 0.000 0.000 0.000
Te 0.000 4.059 4.059
Te 4.059 0.000 4.059
Te 4.059 4.059 0.000
N 0.000 0.000 4.059
N 0.000 4.059 0.000
N 4.059 0.000 0.000
N 4.059 4.059 4.059
CELL_PARAMETERS angstrom
8.118 0.000 0.000
0.000 8.118 0.000
0.000 0.000 8.118
```

B) Compound: K2TeN
Source: Alexandria via LeMat-Bulk
Functional: GGA-PBE
Structure: relaxed Values from VASP.

```
&SYSTEM
  ibrav = 0, nat = 16, ntyp = 3
/
ATOMIC_SPECIES
K 39.10 K.upf
Te 127.60 Te.upf
N 14.01 N.upf
ATOMIC_POSITIONS angstrom
K 0.075 2.873 0.552
K 2.873 5.821 1.657
K 2.873 11.416 3.866
K 5.671 2.873 2.761
K 5.821 8.618 2.761
K 8.618 0.075 3.866
K 8.618 5.671 1.657
K 11.416 8.618 0.552
Te 0.000 0.000 2.209
Te 0.000 5.746 3.313
Te 5.746 0.000 1.104
Te 5.746 5.746 0.000
N 0.000 0.000 0.000
N 0.000 5.746 1.104
N 5.746 0.000 3.313
N 5.746 5.746 2.209
CELL_PARAMETERS angstrom
11.491 0.000 0.000
0.000 11.491 0.000
0.000 0.000 4.418
```

Energies, relative to the best one, in eV/atom: A) 0.250; B) 0.000.

A) Compound: K2Te2N
Source: Alexandria via LeMat-Bulk
Functional: GGA-PBE
Structure: relaxed Values from VASP.

```
&SYSTEM
  ibrav = 0, nat = 10, ntyp = 3
/
ATOMIC_SPECIES
K 39.10 K.upf
Te 127.60 Te.upf
N 14.01 N.upf
ATOMIC_POSITIONS angstrom
K 1.396 2.394 0.000
K 2.394 6.184 0.000
K 5.187 1.396 0.000
K 6.184 5.187 0.000
Te 0.963 4.753 2.957
Te 2.828 0.963 2.957
Te 4.753 6.618 2.957
Te 6.618 2.828 2.957
N 0.000 0.000 0.000
N 3.790 3.790 0.000
CELL_PARAMETERS angstrom
7.580 0.000 0.000
0.000 7.580 0.000
0.000 0.000 5.915
```

B) Compound: K2Te2N
Source: Alexandria via LeMat-Bulk
Functional: GGA-PBE
Structure: relaxed Values from VASP.

```
&SYSTEM
  ibrav = 0, nat = 10, ntyp = 3
/
ATOMIC_SPECIES
K 39.10 K.upf
Te 127.60 Te.upf
N 14.01 N.upf
ATOMIC_POSITIONS angstrom
K 0.000 0.000 1.659
K 0.000 0.000 16.764
K 2.173 2.173 7.552
K 2.173 2.173 10.871
Te 0.000 2.173 4.606
Te 0.000 2.173 13.817
Te 2.173 0.000 4.606
Te 2.173 0.000 13.817
N 0.000 0.000 9.212
N 2.173 2.173 0.000
CELL_PARAMETERS angstrom
4.346 0.000 0.000
0.000 4.346 0.000
0.000 0.000 18.423
```

Energies, relative to the best one, in eV/atom: A) 0.126; B) 0.000.